# Ac7Nd4Sm | Alexandria | PBE | optimized geometry
data_Ac7Nd4Sm
_chemical_formula_sum 'Ac7 Nd4 Sm1'
_cell_length_a 6.742
_cell_length_b 7.755
_cell_length_c 9.621
_cell_angle_alpha 89.66
_cell_angle_beta 76.70
_cell_angle_gamma 89.92
_symmetry_space_group_name_H-M 'P -1'
_symmetry_Int_Tables_number 2
_symmetry_space_group_name_Hall '-P 1'
loop_
_atom_site_label
_atom_site_fract_x
_atom_site_fract_y
_atom_site_fract_z
Ac1 0.000 0.000 0.000
Ac2 0.221 0.500 0.332
Ac3 0.281 0.754 0.664
Ac4 0.498 0.249 0.995
Nd1 0.220 0.001 0.335
Nd2 0.272 0.249 0.669
Sm1 0.000 0.500 0.000
# * energy: -4.347 eV/atom
# * crystal system: triclinic
# * ΔH_f (0 K): 0.033 eV/atom

---

# Y2MnSb | Alexandria | PBE | optimized geometry
data_Y2MnSb
_chemical_formula_sum 'Y4 Mn2 Sb2'
_cell_length_a 3.999
_cell_length_b 4.692
_cell_length_c 10.595
_cell_angle_alpha 90.00
_cell_angle_beta 90.00
_cell_angle_gamma 90.00
_symmetry_space_group_name_H-M 'I m m 2'
_symmetry_Int_Tables_number 44
_symmetry_space_group_name_Hall 'I 2 -2'
loop_
_atom_site_label
_atom_site_fract_x
_atom_site_fract_y
_atom_site_fract_z
Y1 0.000 0.000 0.000
Y2 0.000 0.500 0.231
Mn1 0.000 0.500 0.764
Sb1 0.000 0.000 0.458
# * energy: -6.879 eV/atom
# * formation energy (no corrections): -31.24 kJ/mol of atoms
# * crystal system: orthorhombic